The following is a PBE calculation of an optimized crystal structure of LaMo2Pt, from Alexandria via LeMat-Bulk.

Values from the calculation:
Energy of formation   0.163 eV/atom
Total magnetic moment   0.00 μB per cell
Energy above the lowest structure with this stoichiometry   0.191 eV per atom
Calculated total energy   -63.96 eV/cell

abc: 3.3713 4.8522 9.2508
angles: 90.00 90.00 90.00
Space group Cmm2 (No. 35)
Unique sites:
La (0.0000, 0.0000, 0.0000) x2
Mo (0.0000, 0.0000, 0.4971) x2
Mo (0.0000, 0.5000, 0.2872) x2
Pt (0.0000, 0.5000, 0.7247) x2